The following is a DFT calculation (SCAN) of a PBEsol-optimized structure of CsInCo2Bi.

Output
Uncorrected energy = -35.81 eV/atom
V = 32.9 Å³ per atom
N(E_F) = 0.59 states/eV/atom

Unit cell a=4.9504 b=4.9504 c=6.7201 alpha=90.00 beta=90.00 gamma=90.00
With the nearest neighbours (Å) after each atom.
Space group P4/mmm (No. 123)
Symmetry-distinct sites (fractional):
Cs 0.0000 0.0000 0.0000 (multiplicity 1)  2 Bi 3.36, 4 In 3.50
In 0.5000 0.5000 0.0000 (multiplicity 1)  4 Cs 3.50
Co 0.0000 0.5000 0.5000 (multiplicity 2)  2 Bi 2.48
Bi 0.0000 0.0000 0.5000 (multiplicity 1)  4 Co 2.48

The following is a DFT calculation (SCAN) of a PBEsol-optimized structure of ZrBe2Sb.

Output
Uncorrected formation energy = 3 kJ/mol of atoms
Uncorrected energy = -19.13 eV/atom
V = 16.3 Å³ per atom
N(E_F) = 0.43 states/eV/atom

Unit cell a=3.0956 b=4.0134 c=5.2571 alpha=90.00 beta=90.00 gamma=90.00
With the nearest neighbours (Å) after each atom.
Space group Pmm2 (No. 25)
Symmetry-distinct sites (fractional):
Zr 0.0000 0.0000 0.0000 (multiplicity 1)  6 Be 2.73-2.80, 4 Sb 2.94
Be 0.5000 0.0000 0.4272 (multiplicity 1)  2 Be 2.27, 2 Sb 2.52
Be 0.5000 0.5000 0.2273 (multiplicity 1)  2 Be 2.27
Sb 0.5000 0.5000 0.7175 (multiplicity 1)  4 Be 2.52-2.68